Entry from the Alexandria database: a relaxed ScTlCd crystal (PBE-GGA).

Cell and atoms, written as POSCAR:
```
ScTlCd
1.0
4.8158 0.0000 0.0000
-2.4079 4.1706 0.0000
0.0000 0.0000 7.1609
Sc Tl Cd
2 2 2
direct
0.0000 0.0000 0.2336 Sc
0.0000 0.0000 0.7664 Sc
0.3333 0.6667 0.5776 Tl
0.6667 0.3333 0.4224 Tl
0.3333 0.6667 0.0054 Cd
0.6667 0.3333 0.9946 Cd
```

Formation energy from the elements ... -0.1422 eV/atom
Total magnetic moment ... 0.000 μB/cell

***

Entry from the Alexandria database: a relaxed ErTmHgPd crystal (PBE-GGA).

Cell and atoms, written as POSCAR:
```
ErTmHgPd
1.0
0.0000 3.5769 3.5769
3.5769 0.0000 3.5769
3.5769 3.5769 0.0000
Er Tm Hg Pd
1 1 1 1
direct
0.0000 0.0000 0.0000 Er
0.5000 0.5000 0.5000 Tm
0.7500 0.7500 0.7500 Hg
0.2500 0.2500 0.2500 Pd
```

Formation energy from the elements ... -0.6723 eV/atom
Total magnetic moment ... 0.000 μB/cell

***

Entry from the Alexandria database: a relaxed Ag2POs crystal (PBE-GGA).

Cell and atoms, written as POSCAR:
```
Ag2POs
1.0
1.4164 0.8178 9.1829
-1.4164 0.8178 9.1829
0.0000 -1.6356 9.1829
Ag P Os
2 1 1
direct
0.2472 0.2472 0.2472 Ag
0.7528 0.7528 0.7528 Ag
0.5000 0.5000 0.5000 P
0.0000 0.0000 0.0000 Os
```

Formation energy from the elements ... 0.6292 eV/atom
Total magnetic moment ... 0.352 μB/cell

***

Entry from the Alexandria database: a relaxed YHoMnCd crystal (PBE-GGA).

Cell and atoms, written as POSCAR:
```
YHoMnCd
1.0
0.0000 3.6495 3.6495
3.6495 0.0000 3.6495
3.6495 3.6495 0.0000
Y Ho Mn Cd
1 1 1 1
direct
0.0000 0.0000 0.0000 Y
0.5000 0.5000 0.5000 Ho
0.2500 0.2500 0.2500 Mn
0.7500 0.7500 0.7500 Cd
```

Formation energy from the elements ... -0.0190 eV/atom
Total magnetic moment ... 3.166 μB/cell

***

Entry from the Alexandria database: a relaxed SiWN2 crystal (PBE-GGA).

Cell and atoms, written as POSCAR:
```
SiWN2
1.0
1.4194 0.8195 6.0179
-1.4194 0.8195 6.0179
0.0000 -1.6390 6.0179
Si W N
1 1 2
direct
0.0000 0.0000 0.0000 Si
0.5000 0.5000 0.5000 W
0.3885 0.3885 0.3885 N
0.6115 0.6115 0.6115 N
```

Total magnetic moment ... 0.000 μB/cell
Energy relative to the elements, uncorrected ... -0.189 eV/atom

***

Entry from the Alexandria database: a relaxed FeIr2 crystal (PBE-GGA).

Cell and atoms, written as POSCAR:
```
FeIr2
1.0
4.2749 -1.8998 0.0000
4.2749 1.8998 0.0000
-1.8107 0.0000 5.0494
Fe Ir
2 4
direct
0.1637 0.1637 0.0818 Fe
0.8363 0.8363 0.9182 Fe
0.1687 0.1687 0.5880 Ir
0.4954 0.4954 0.2411 Ir
0.5046 0.5046 0.7589 Ir
0.8313 0.8313 0.4120 Ir
```

Formation energy from the elements ... -0.0264 eV/atom
Total magnetic moment ... 4.658 μB/cell

***

> Which value of total magnetic moment does entry 1 give?

0.000 μB/cell

***

> Which formula does entry 4 have?

YHoMnCd